A plane-wave DFT calculation with PBE-GGA was carried out for a geometry-optimized NbSeO2 structure.

For the raw formation energy, the calculation gives -1.58 eV per atom. As for the total energy: -7.4456 eV per atom. Its density of states at the Fermi level is 1.14 states/eV/f.u. The value obtained for the size of the total moment is 0.000 μB/f.u.

abc: 3.011 6.406 6.329
angles: 90.00 90.00 103.59
Element x y z (fractional)
1 Se 0.557 0.114 0.750
2 Nb 0.245 0.489 0.750
3 O 0.184 0.367 0.070
4 O 0.816 0.633 0.570
5 Nb 0.755 0.511 0.250
6 O 0.184 0.367 0.430
7 O 0.816 0.633 0.930
8 Se 0.443 0.886 0.250